Compound: Y4RuI5
Source: Alexandria
Functional: PBE
Structure: optimized geometry

Values from the calculation:
For the total magnetic moment, the calculation gives 0.00 Bohr magnetons per cell. The calculation puts the volume at 35.28 Å³ per atom. As for the energy: -5.378 eV per atom. Its space group is P4_2/nnm (134).

Cell and atoms, written as CIF:
```
data_Y4RuI5
_symmetry_space_group_name_H-M 'P 1'
_symmetry_Int_Tables_number 1
_symmetry_space_group_name_Hall 'P 1'
_cell_length_a 12.424
_cell_length_b 12.424
_cell_length_c 18.285
_cell_angle_alpha 90.00
_cell_angle_beta 90.00
_cell_angle_gamma 90.00
loop_
_atom_site_label
_atom_site_type_symbol
_atom_site_fract_x
_atom_site_fract_y
_atom_site_fract_z
Y1 Y 0.820 0.385 0.425
Y2 Y 0.623 0.377 0.585
Y3 Y 0.680 0.115 0.075
Y4 Y 0.320 0.885 0.075
Y5 Y 0.377 0.377 0.415
Y6 Y 0.113 0.113 0.781
Y7 Y 0.180 0.615 0.425
Y8 Y 0.887 0.113 0.219
Y9 Y 0.377 0.623 0.585
Y10 Y 0.877 0.123 0.915
Y11 Y 0.113 0.887 0.219
Y12 Y 0.877 0.877 0.085
Y13 Y 0.180 0.385 0.575
Y14 Y 0.680 0.885 0.925
Y15 Y 0.123 0.877 0.915
Y16 Y 0.885 0.680 0.925
Y17 Y 0.613 0.387 0.281
Y18 Y 0.115 0.680 0.075
Y19 Y 0.613 0.613 0.719
Y20 Y 0.115 0.320 0.925
Y21 Y 0.615 0.180 0.425
Y22 Y 0.385 0.820 0.425
Y23 Y 0.885 0.320 0.075
Y24 Y 0.320 0.115 0.925
Y25 Y 0.387 0.613 0.281
Y26 Y 0.123 0.123 0.085
Y27 Y 0.387 0.387 0.719
Y28 Y 0.887 0.887 0.781
Y29 Y 0.615 0.820 0.575
Y30 Y 0.623 0.623 0.415
Y31 Y 0.385 0.180 0.575
Y32 Y 0.820 0.615 0.575
I1 I 0.605 0.873 0.089
I2 I 0.862 0.138 0.410
I3 I 0.638 0.638 0.910
I4 I 0.370 0.630 0.762
I5 I 0.627 0.105 0.589
I6 I 0.127 0.395 0.089
I7 I 0.362 0.362 0.910
I8 I 0.895 0.373 0.589
I9 I 0.873 0.605 0.089
I10 I 0.105 0.627 0.589
I11 I 0.870 0.370 0.250
I12 I 0.395 0.127 0.089
I13 I 0.630 0.630 0.238
I14 I 0.873 0.395 0.911
I15 I 0.138 0.138 0.590
I16 I 0.895 0.627 0.411
I17 I 0.130 0.870 0.738
I18 I 0.870 0.630 0.750
I19 I 0.862 0.862 0.590
I20 I 0.105 0.373 0.411
I21 I 0.373 0.105 0.411
I22 I 0.130 0.630 0.250
I23 I 0.627 0.895 0.411
I24 I 0.630 0.370 0.762
I25 I 0.130 0.130 0.262
I26 I 0.138 0.862 0.410
I27 I 0.370 0.370 0.238
I28 I 0.362 0.638 0.090
I29 I 0.370 0.870 0.250
I30 I 0.127 0.605 0.911
I31 I 0.373 0.895 0.589
I32 I 0.870 0.130 0.738
I33 I 0.870 0.870 0.262
I34 I 0.605 0.127 0.911
I35 I 0.630 0.130 0.250
I36 I 0.370 0.130 0.750
I37 I 0.630 0.870 0.750
I38 I 0.130 0.370 0.750
I39 I 0.638 0.362 0.090
I40 I 0.395 0.873 0.911
Ru1 Ru 0.604 0.396 0.430
Ru2 Ru 0.896 0.896 0.930
Ru3 Ru 0.896 0.104 0.070
Ru4 Ru 0.604 0.604 0.570
Ru5 Ru 0.104 0.896 0.070
Ru6 Ru 0.396 0.396 0.570
Ru7 Ru 0.104 0.104 0.930
Ru8 Ru 0.396 0.604 0.430
```